# 1
Cu2MoP: optimized geometry, PBE.

POSCAR file:
```
Cu2MoP
1.0
3.336 0.000 0.000
0.000 1.535 5.280
0.000 -1.535 5.280
Cu Mo P
2 1 1
Cartesian
0.000 0.000 0.000
1.668 0.000 4.163
1.668 0.000 6.938
0.000 0.000 2.554
```

Summary:
Its space-group type is Amm2. The calculation puts the density of states at the Fermi level at 3.09 states/eV/f.u. The value obtained for the energy of formation from the pure elements is -46 meV per atom.

***

# 2
Cu2MoP: optimized geometry, PBE.

POSCAR file:
```
Cu2MoP
1.0
-1.741 1.741 4.390
1.741 -1.741 4.390
1.741 1.741 -4.390
Cu Mo P
2 1 1
Cartesian
1.741 0.000 2.195
0.000 1.741 2.195
0.000 0.000 0.000
0.000 0.000 4.390
```

Summary:
Its space-group type is I4/mmm. The calculation puts the density of states at the Fermi level at 2.20 states/eV/f.u. The value obtained for the energy of formation from the pure elements is 146 meV per atom.

***

# 3
CuMo2P: optimized geometry, PBE.

POSCAR file:
```
CuMo2P
1.0
-1.819 1.819 9.187
1.819 -1.819 9.187
1.819 1.819 -9.187
Cu Mo P
2 4 2
Cartesian
0.000 0.000 0.000
0.000 1.819 4.594
0.910 -0.896 6.890
0.923 0.910 2.297
0.910 2.715 -2.297
0.896 0.910 11.484
1.819 0.000 4.594
0.000 0.000 9.187
```

Summary:
Its space-group type is I-42d. The calculation puts the density of states at the Fermi level at 3.13 states/eV/f.u. The value obtained for the energy of formation from the pure elements is 416 meV per atom.

***

Q: Number 1 is which compound?
A: Cu2MoP

***

Q: The highest energy of formation from the pure elements belongs to which entry?
A: CuMo2P